1.
Here is an optimized crystal structure of Li2La2Cu from Alexandria via LeMat-Bulk. Energies are from GGA-PBE.

Cell and atoms, written as CIF:
```
data_Li2La2Cu
_chemical_formula_sum 'Li4 La4 Cu2'
_symmetry_space_group_name_H-M 'P 4/m b m'
_symmetry_Int_Tables_number 127
_symmetry_space_group_name_Hall '-P 4 2ab'
_cell_length_a 6.771
_cell_length_b 6.771
_cell_length_c 5.215
_cell_angle_alpha 90.00
_cell_angle_beta 90.00
_cell_angle_gamma 90.00
loop_
_atom_site_label
_atom_site_fract_x
_atom_site_fract_y
_atom_site_fract_z
Li1 0.140 0.360 0.000
La1 0.178 0.678 0.500
Cu1 0.000 0.000 0.000
```

crystal system: tetragonal
energy: -17.24 eV/f.u.
formation energy: 108 meV per atom

2.
Here is an optimized crystal structure of LiLaCu from Alexandria via LeMat-Bulk. Energies are from GGA-PBE.

Cell and atoms, written as CIF:
```
data_LiLaCu
_chemical_formula_sum 'Li2 La2 Cu2'
_symmetry_space_group_name_H-M 'P 4/n m m'
_symmetry_Int_Tables_number 129
_cell_length_a 3.995
_cell_length_b 3.995
_cell_length_c 8.462
_cell_angle_alpha 90.00
_cell_angle_beta 90.00
_cell_angle_gamma 90.00
loop_
_symmetry_equiv_pos_as_xyz
'x,y,z'
'-x,-y,-z'
'-y+1/2,x,z'
'y+1/2,-x,-z'
'-x+1/2,-y+1/2,z'
'x+1/2,y+1/2,-z'
'y,-x+1/2,z'
'-y,x+1/2,-z'
'x+1/2,-y,-z'
'-x+1/2,y,z'
'-y,-x,-z'
'y,x,z'
'-x,y+1/2,-z'
'x,-y+1/2,z'
'y+1/2,x+1/2,-z'
'-y+1/2,-x+1/2,z'
loop_
_atom_site_label
_atom_site_fract_x
_atom_site_fract_y
_atom_site_fract_z
Li1 0.250 0.750 0.000
La1 0.250 0.250 0.349
Cu1 0.250 0.250 0.775
```

crystal system: tetragonal
energy: -11.15 eV/f.u.
formation energy: -71 meV per atom

3.
Here is an optimized crystal structure of LiLaCu from Alexandria via LeMat-Bulk. Energies are from GGA-PBE.

Cell and atoms, written as CIF:
```
data_LiLaCu
_chemical_formula_sum 'Li4 La4 Cu4'
_symmetry_space_group_name_H-M 'F -4 3 m'
_symmetry_Int_Tables_number 216
_symmetry_space_group_name_Hall 'F -4 2 3'
_cell_length_a 6.795
_cell_length_b 6.795
_cell_length_c 6.795
_cell_angle_alpha 90.00
_cell_angle_beta 90.00
_cell_angle_gamma 90.00
loop_
_atom_site_label
_atom_site_fract_x
_atom_site_fract_y
_atom_site_fract_z
Li1 0.000 0.000 0.000
La1 0.000 0.000 0.500
Cu1 0.250 0.250 0.250
```

crystal system: cubic
energy: -10.68 eV/f.u.
formation energy: 87 meV per atom